! KSrLi2Rh (GGA-PBE, optimized geometry); values from VASP
! calculated formation energy = 0.1262 eV/atom
! D(E_F) = 2.79 states/eV/cell
! calculated total energy = -2.665 eV per atom
&SYSTEM
  ibrav = 0, nat = 5, ntyp = 4
/
ATOMIC_SPECIES
Sr 87.62 Sr.upf
K 39.10 K.upf
Rh 102.91 Rh.upf
Li 6.94 Li.upf
CELL_PARAMETERS angstrom
5.324 0.000 0.000
0.000 5.324 0.000
0.000 0.000 5.512
ATOMIC_POSITIONS crystal
Sr 0.000 0.000 0.500
K 0.500 0.500 0.500
Rh 0.000 0.000 0.000
Li 0.000 0.500 0.000
Li 0.500 0.000 0.000